Entry 1:
A geometry-optimized PaZn10Cd structure, computed with PBE-GGA.

Geometry as POSCAR:
```
PaZn10Cd
1.0
4.282 0.000 0.000
0.000 5.216 0.000
0.000 0.000 9.285
Pa Zn Cd
1 10 1
Direct
0.000 0.000 0.000
0.000 0.000 0.343
0.000 0.000 0.657
0.000 0.500 0.191
0.000 0.500 0.809
0.500 0.000 0.500
0.500 0.236 0.231
0.500 0.236 0.769
0.500 0.500 0.000
0.500 0.764 0.231
0.500 0.764 0.769
0.000 0.500 0.500
```

Computed properties:
DOS(E_F) (states/eV per cell): 6.20
Total DFT energy (no corrections) (eV/cell): -23.284
Total moment (μB per atom): 0.040
Energy of formation (eV/atom): -0.011



Entry 2:
A geometry-optimized MnRe structure, computed with PBE-GGA.

Geometry as POSCAR:
```
MnRe
1.0
4.735 0.000 0.000
0.000 4.735 0.000
0.000 0.000 4.735
Mn Re
4 4
Direct
0.103 0.397 0.603
0.397 0.603 0.103
0.603 0.103 0.397
0.897 0.897 0.897
0.103 0.897 0.397
0.397 0.103 0.897
0.603 0.603 0.603
0.897 0.397 0.103
```

Computed properties:
DOS(E_F) (states/eV per cell): 8.70
Total DFT energy (no corrections) (eV/cell): -84.987
Total moment (μB per atom): 0.001
Energy of formation (eV/atom): 0.185



Entry 3:
A geometry-optimized CaTl2Fe structure, computed with PBE-GGA.

Geometry as POSCAR:
```
CaTl2Fe
1.0
-2.227 2.227 4.893
2.227 -2.227 4.893
2.227 2.227 -4.893
Ca Tl Fe
1 2 1
Direct
0.000 0.000 0.000
0.500 0.500 0.000
0.750 0.250 0.500
0.250 0.750 0.500
```

Computed properties:
DOS(E_F) (states/eV per cell): 5.48
Total DFT energy (no corrections) (eV/cell): -14.101
Total moment (μB per atom): 0.647
Energy of formation (eV/atom): 0.274



Entry 4:
A geometry-optimized LiTaHg3 structure, computed with PBE-GGA.

Geometry as POSCAR:
```
LiTaHg3
1.0
4.618 0.000 0.000
0.000 4.618 0.000
0.000 0.000 4.618
Li Ta Hg
1 1 3
Direct
0.000 0.000 0.000
0.500 0.500 0.500
0.000 0.000 0.500
0.000 0.500 0.000
0.500 0.000 0.000
```

Computed properties:
DOS(E_F) (states/eV per cell): 2.38
Total DFT energy (no corrections) (eV/cell): -10.951
Total moment (μB per atom): 0.000
Energy of formation (eV/atom): 0.744



Entry 5:
A geometry-optimized TaFe3Re structure, computed with PBE-GGA.

Geometry as POSCAR:
```
TaFe3Re
1.0
4.381 0.000 0.000
0.000 4.381 0.000
0.000 0.000 4.381
Ta Fe Re
1 3 1
Direct
0.000 0.000 0.000
0.000 0.500 0.500
0.500 0.000 0.500
0.500 0.500 0.000
0.500 0.500 0.500
```

Computed properties:
DOS(E_F) (states/eV per cell): 6.05
Total DFT energy (no corrections) (eV/cell): -42.278
Total moment (μB per atom): 0.709
Energy of formation (eV/atom): 1.482



Entry 6:
A geometry-optimized ZrHg2Pb structure, computed with PBE-GGA.

Geometry as POSCAR:
```
ZrHg2Pb
1.0
-2.178 2.178 5.012
2.178 -2.178 5.012
2.178 2.178 -5.012
Zr Hg Pb
1 2 1
Direct
0.000 0.000 0.000
0.250 0.750 0.500
0.500 0.500 0.000
0.750 0.250 0.500
```

Computed properties:
DOS(E_F) (states/eV per cell): 4.27
Total DFT energy (no corrections) (eV/cell): -12.698
Total moment (μB per atom): 0.000
Energy of formation (eV/atom): 0.040